Here is Rb3Pa3CdTe8 after structural relaxation from Alexandria via LeMat-Bulk. Energies are from PBE.

The structure in extended XYZ format:
```
15
Lattice="4.452 2.570 8.790 -4.452 2.570 8.790 0.000 -5.140 8.790" Properties=species:S:1:pos:R:3 pbc="T T T"
Rb -2.226 -1.285 8.790
Rb -2.226 1.285 17.580
Rb 0.000 2.570 8.790
Pa -4.452 0.000 13.185
Pa -2.226 1.285 4.395
Pa 2.226 1.285 4.395
Cd 0.000 0.000 13.185
Te -2.256 -1.303 14.929
Te 0.000 0.000 6.188
Te 0.000 -2.605 11.441
Te -2.256 1.303 11.441
Te 2.256 -1.303 14.929
Te 0.000 2.605 14.929
Te 0.000 0.000 20.182
Te 2.256 1.303 11.441
```

- energy relative to the elements, uncorrected (eV per atom) = -0.84
- mass density (g cm⁻³) = 5.73
- E (eV per atom) = -4.67

***

Here is AlRuS after structural relaxation from Alexandria via LeMat-Bulk. Energies are from PBE.

The structure in extended XYZ format:
```
6
Lattice="1.519 -8.143 0.000 1.519 8.143 0.000 0.000 0.000 4.208" Properties=species:S:1:pos:R:3 pbc="T T T"
Al 1.519 6.979 2.104
Al 1.519 -6.979 0.000
Ru 1.519 1.102 2.168
Ru 1.519 -1.102 0.064
S 1.519 5.340 3.861
S 1.519 -5.340 1.757
```

- energy relative to the elements, uncorrected (eV per atom) = -0.42
- mass density (g cm⁻³) = 5.11
- E (eV per atom) = -6.13

***

Here is LiCr2Mo after structural relaxation from Alexandria via LeMat-Bulk. Energies are from PBE.

The structure in extended XYZ format:
```
4
Lattice="2.438 0.000 0.000 0.000 4.186 0.000 0.000 0.000 5.149" Properties=species:S:1:pos:R:3 pbc="T T T"
Li 0.000 0.000 0.000
Cr 0.000 0.000 2.652
Cr 1.219 2.093 3.859
Mo 1.219 2.093 1.327
```

- mass density (g cm⁻³) = 6.54
- E (eV per atom) = -7.52

***

Here is Ca2MnReRu after structural relaxation from Alexandria via LeMat-Bulk. Energies are from PBE.

The structure in extended XYZ format:
```
5
Lattice="5.365 0.000 0.000 0.000 5.365 0.000 0.000 0.000 4.660" Properties=species:S:1:pos:R:3 pbc="T T T"
Ca 0.000 2.682 0.000
Ca 2.682 0.000 0.000
Mn 0.000 0.000 2.330
Re 2.682 2.682 2.330
Ru 2.682 2.682 0.000
```

- mass density (g cm⁻³) = 5.23
- E (eV per atom) = -5.94

***

Here is La3AuC after structural relaxation from Alexandria via LeMat-Bulk. Energies are from PBE.

The structure in extended XYZ format:
```
10
Lattice="3.881 0.000 0.000 1.938 7.443 0.000 0.006 0.518 9.462" Properties=species:S:1:pos:R:3 pbc="T T T"
La 0.971 3.173 2.008
La 0.974 0.487 7.692
La 2.909 6.163 4.539
La 2.916 1.797 4.923
La 4.852 7.474 1.770
La 4.855 4.788 7.454
Au 2.910 5.209 0.558
Au 2.915 2.752 8.904
C 0.976 0.990 3.272
C 4.849 6.971 6.190
```

- mass density (g cm⁻³) = 7.60
- E (eV per atom) = -5.84

***

Here is La4AsSCl2 after structural relaxation from Alexandria via LeMat-Bulk. Energies are from PBE.

The structure in extended XYZ format:
```
8
Lattice="7.277 0.000 0.000 0.000 4.265 0.000 -2.497 0.000 6.885" Properties=species:S:1:pos:R:3 pbc="T T T"
La 1.085 0.000 1.610
La -0.169 2.132 5.200
La 4.949 2.132 1.685
La 3.695 0.000 5.275
As -1.249 0.000 3.442
S 0.000 2.132 0.000
Cl 3.638 0.000 0.000
Cl 2.390 2.132 3.442
```

- energy relative to the elements, uncorrected (eV per atom) = -1.77
- mass density (g cm⁻³) = 5.70
- E (eV per atom) = -5.79

***

Here is MgCrCd2 after structural relaxation from Alexandria via LeMat-Bulk. Energies are from PBE.

The structure in extended XYZ format:
```
4
Lattice="3.504 0.000 0.000 0.000 3.504 0.000 0.000 0.000 6.556" Properties=species:S:1:pos:R:3 pbc="T T T"
Mg 0.000 0.000 0.000
Cr 1.752 1.752 4.992
Cd 0.000 0.000 3.481
Cd 1.752 1.752 1.684
```

- mass density (g cm⁻³) = 6.21
- E (eV per atom) = -3.03

***

Here is BaUSbS5 after structural relaxation from Alexandria via LeMat-Bulk. Energies are from PBE.

The structure in extended XYZ format:
```
16
Lattice="4.787 -5.555 0.000 4.787 5.555 0.000 -4.258 0.000 9.157" Properties=species:S:1:pos:R:3 pbc="T T T"
Ba 1.594 4.680 6.868
Ba 3.723 -4.680 2.289
U 2.394 2.778 0.000
U 0.265 -2.778 4.579
Sb 1.594 0.242 6.868
Sb 3.723 -0.242 2.289
S 1.676 0.356 0.604
S 3.723 3.120 2.289
S -0.453 -0.356 5.183
S 0.508 1.978 8.309
S 2.679 1.978 5.427
S 2.637 -1.978 3.730
S 4.808 -1.978 0.848
S 5.769 0.356 3.975
S 1.594 -3.120 6.868
S 3.640 -0.356 8.553
```

- energy relative to the elements, uncorrected (eV per atom) = -1.12
- mass density (g cm⁻³) = 4.48
- E (eV per atom) = -5.86